Compound: Tb6Pr2Sm3Pb
Source: the Alexandria database
Functional: GGA-PBE
Structure: relaxed

Cell lengths 6.1790, 6.1790, 11.8673 Å; angles 95.01, 95.01, 120.03 degrees
Atoms (fractional coordinates):
1 Tb 0.0825 0.4084 0.7489
2 Tb 0.2428 0.2428 0.2498
3 Tb 0.4084 0.0825 0.7489
4 Tb 0.5916 0.9175 0.2511
5 Tb 0.7572 0.7572 0.7502
6 Tb 0.9175 0.5916 0.2511
7 Pr 0.3338 0.6662 0.5000
8 Pr 0.6662 0.3338 0.5000
9 Sm 0.1680 0.8320 0.0000
10 Sm 0.5000 0.5000 0.0000
11 Sm 0.8320 0.1680 0.0000
12 Pb 0.0000 0.0000 0.5000

Calculated values
Calculated formation energy in kJ/mol of formula units: -81.4

Compound: PrSmTePb
Source: the Alexandria database
Functional: GGA-PBE
Structure: relaxed

Cell lengths 7.8811, 7.8811, 7.8811 Å; angles 33.47, 33.47, 33.47 degrees
Atoms (fractional coordinates):
1 Pr 0.0000 0.0000 0.0000
2 Sm 0.5042 0.5042 0.5042
3 Te 0.7541 0.7541 0.7541
4 Pb 0.2504 0.2504 0.2504

Calculated values
Energy relative to the elements, uncorrected in kJ/mol of atoms: -98.13

Compound: Pr3Sm2Y6Pb
Source: the Alexandria database
Functional: GGA-PBE
Structure: relaxed

Cell lengths 6.2150, 6.2150, 11.8261 Å; angles 95.05, 95.05, 119.99 degrees
Atoms (fractional coordinates):
1 Pr 0.0000 0.0000 0.0000
2 Pr 0.3324 0.6676 0.0000
3 Pr 0.6676 0.3324 0.0000
4 Sm 0.1661 0.8339 0.5000
5 Sm 0.8339 0.1661 0.5000
6 Y 0.0935 0.4193 0.2556
7 Y 0.2552 0.2552 0.7453
8 Y 0.4193 0.0935 0.2556
9 Y 0.5807 0.9065 0.7444
10 Y 0.7448 0.7448 0.2547
11 Y 0.9065 0.5807 0.7444
12 Pb 0.5000 0.5000 0.5000

Calculated values
Calculated formation energy in kJ/mol of formula units: -77.3

Compound: Pr2Sm3Y6Pb
Source: the Alexandria database
Functional: GGA-PBE
Structure: relaxed

Cell lengths 6.1924, 6.1924, 11.8385 Å; angles 95.02, 95.02, 120.01 degrees
Atoms (fractional coordinates):
1 Pr 0.1663 0.8337 0.0000
2 Pr 0.8337 0.1663 0.0000
3 Sm 0.0000 0.0000 0.5000
4 Sm 0.3327 0.6673 0.5000
5 Sm 0.6673 0.3327 0.5000
6 Y 0.0923 0.4180 0.7519
7 Y 0.2569 0.2569 0.2489
8 Y 0.4180 0.0923 0.7519
9 Y 0.5820 0.9077 0.2481
10 Y 0.7431 0.7431 0.7511
11 Y 0.9077 0.5820 0.2481
12 Pb 0.5000 0.5000 0.0000

Calculated values
Calculated formation energy in kJ/mol of formula units: -86.8

Compound: PrSm2Zn2Pb2
Source: the Alexandria database
Functional: GGA-PBE
Structure: relaxed

Cell lengths 9.9463, 9.9463, 9.9463 Å; angles 28.02, 28.02, 28.02 degrees
Atoms (fractional coordinates):
1 Pr 0.0000 0.0000 0.0000
2 Sm 0.1325 0.1325 0.1325
3 Sm 0.8675 0.8675 0.8675
4 Zn 0.4274 0.4274 0.4274
5 Zn 0.5726 0.5726 0.5726
6 Pb 0.2683 0.2683 0.2683
7 Pb 0.7317 0.7317 0.7317

Calculated values
Calculated formation energy in kJ/mol of formula units: -155.0

Compound: PrSmZnPb
Source: the Alexandria database
Functional: GGA-PBE
Structure: relaxed

Cell lengths 5.3966, 5.3966, 5.3966 Å; angles 60.00, 60.00, 60.00 degrees
Atoms (fractional coordinates):
1 Pr 0.0000 0.0000 0.0000
2 Sm 0.5000 0.5000 0.5000
3 Zn 0.7500 0.7500 0.7500
4 Pb 0.2500 0.2500 0.2500

Calculated values
Calculated formation energy in kJ/mol of formula units: -154.6

Compound: Pr6Sn2Pb
Source: the Alexandria database
Functional: GGA-PBE
Structure: relaxed

Cell lengths 8.7520, 8.7520, 4.4615 Å; angles 90.00, 90.00, 120.00 degrees
Atoms (fractional coordinates):
1 Pr 0.0000 0.4074 0.0000
2 Pr 0.0000 0.7283 0.5000
3 Pr 0.2717 0.2717 0.5000
4 Pr 0.4074 0.0000 0.0000
5 Pr 0.5926 0.5926 0.0000
6 Pr 0.7283 0.0000 0.5000
7 Sn 0.3333 0.6667 0.5000
8 Sn 0.6667 0.3333 0.5000
9 Pb 0.0000 0.0000 0.0000

Calculated values
Calculated formation energy in kJ/mol of formula units: -457.0

Compound: Pr2SnPb4
Source: the Alexandria database
Functional: GGA-PBE
Structure: relaxed

Cell lengths 6.8344, 6.8344, 6.7834 Å; angles 119.72, 119.72, 90.47 degrees
Atoms (fractional coordinates):
1 Pr 0.0000 0.5000 0.0000
2 Pr 0.5000 0.0000 0.0000
3 Sn 0.0000 0.0000 0.0000
4 Pb 0.0000 0.0000 0.5000
5 Pb 0.0000 0.5000 0.5000
6 Pb 0.5000 0.0000 0.5000
7 Pb 0.5000 0.5000 0.5000

Calculated values
Calculated formation energy in kJ/mol of formula units: -235.5

Compound: Pr8SnPb2
Source: the Alexandria database
Functional: GGA-PBE
Structure: relaxed

Cell lengths 10.5168, 10.5168, 7.1369 Å; angles 102.52, 102.52, 29.31 degrees
Atoms (fractional coordinates):
1 Pr 0.0187 0.0187 0.2649
2 Pr 0.2141 0.2141 0.8327
3 Pr 0.3417 0.3417 0.4910
4 Pr 0.4091 0.4091 0.0253
5 Pr 0.5909 0.5909 0.9747
6 Pr 0.6583 0.6583 0.5090
7 Pr 0.7859 0.7859 0.1673
8 Pr 0.9813 0.9813 0.7351
9 Sn 0.5000 0.5000 0.5000
10 Pb 0.1805 0.1805 0.2646
11 Pb 0.8195 0.8195 0.7354

Calculated values
Calculated formation energy in kJ/mol of formula units: -338.8

Compound: Pr5Sn2Pb
Source: the Alexandria database
Functional: GGA-PBE
Structure: relaxed

Cell lengths 6.9573, 6.9573, 6.9573 Å; angles 117.92, 117.92, 93.64 degrees
Atoms (fractional coordinates):
1 Pr 0.0000 0.0000 0.0000
2 Pr 0.0000 0.0000 0.5000
3 Pr 0.0000 0.5000 0.0000
4 Pr 0.5000 0.0000 0.0000
5 Pr 0.5000 0.5000 0.5000
6 Sn 0.0000 0.5000 0.5000
7 Sn 0.5000 0.0000 0.5000
8 Pb 0.5000 0.5000 0.0000

Calculated values
Calculated formation energy in kJ/mol of formula units: -375.1
Polymorph energy (0 for the lowest one) in meV per atom: 124.2

Compound: Pr2SnPb5
Source: the Alexandria database
Functional: GGA-PBE
Structure: relaxed

Cell lengths 6.9646, 13.9501, 4.9189 Å; angles 90.00, 90.00, 90.00 degrees
Atoms (fractional coordinates):
1 Pr 0.2409 0.1210 0.0000
2 Pr 0.2591 0.6210 0.0000
3 Pr 0.7409 0.3790 0.0000
4 Pr 0.7591 0.8790 0.0000
5 Sn 0.0000 0.0000 0.5000
6 Sn 0.5000 0.5000 0.5000
7 Pb 0.0000 0.5000 0.5000
8 Pb 0.0064 0.7507 0.5000
9 Pb 0.2452 0.3736 0.0000
10 Pb 0.2548 0.8736 0.0000
11 Pb 0.4936 0.2507 0.5000
12 Pb 0.5000 0.0000 0.5000
13 Pb 0.5064 0.7493 0.5000
14 Pb 0.7452 0.1264 0.0000
15 Pb 0.7548 0.6264 0.0000
16 Pb 0.9936 0.2493 0.5000

Calculated values
Calculated formation energy in kJ/mol of formula units: -311.3

Compound: Pr5Sn2Pb2
Source: the Alexandria database
Functional: GGA-PBE
Structure: relaxed

Cell lengths 9.1724, 9.1724, 8.5252 Å; angles 90.00, 90.00, 55.27 degrees
Atoms (fractional coordinates):
1 Pr 0.0000 0.0000 0.0000
2 Pr 0.0387 0.6889 0.6711
3 Pr 0.1889 0.5387 0.1711
4 Pr 0.3111 0.9613 0.6711
5 Pr 0.4613 0.8111 0.1711
6 Pr 0.5000 0.5000 0.5000
7 Pr 0.5387 0.1889 0.8289
8 Pr 0.6889 0.0387 0.3289
9 Pr 0.8111 0.4613 0.8289
10 Pr 0.9613 0.3111 0.3289
11 Sn 0.1265 0.8735 0.3719
12 Sn 0.3735 0.6265 0.8719
13 Sn 0.6265 0.3735 0.1281
14 Sn 0.8735 0.1265 0.6281
15 Pb 0.2077 0.2077 0.0000
16 Pb 0.2923 0.2923 0.5000
17 Pb 0.7077 0.7077 0.5000
18 Pb 0.7923 0.7923 0.0000

Calculated values
Calculated formation energy in kJ/mol of formula units: -588.5
Polymorph energy (0 for the lowest one) in meV per atom: 0.0

What did the third record say?
Compound: Pr3Sm2Y6Pb
Source: the Alexandria database
Functional: GGA-PBE
Structure: relaxed

Cell lengths 6.2150, 6.2150, 11.8261 Å; angles 95.05, 95.05, 119.99 degrees
Atoms (fractional coordinates):
1 Pr 0.0000 0.0000 0.0000
2 Pr 0.3324 0.6676 0.0000
3 Pr 0.6676 0.3324 0.0000
4 Sm 0.1661 0.8339 0.5000
5 Sm 0.8339 0.1661 0.5000
6 Y 0.0935 0.4193 0.2556
7 Y 0.2552 0.2552 0.7453
8 Y 0.4193 0.0935 0.2556
9 Y 0.5807 0.9065 0.7444
10 Y 0.7448 0.7448 0.2547
11 Y 0.9065 0.5807 0.7444
12 Pb 0.5000 0.5000 0.5000

Calculated values
Calculated formation energy in kJ/mol of formula units: -77.3

Question: What is the formula in the second record?
Answer: PrSmTePb